[1]
This record from Alexandria via LeMat-Bulk describes a relaxed structure of YSc2Fe. The functional is PBE.

abc: 6.984 6.984 6.984
angles: 60.00 60.00 60.00
Atoms (fractional coordinates):
Y: 0.125 0.125 0.125
Y: 0.875 0.875 0.875
Sc: 0.000 0.500 0.500
Sc: 0.500 0.000 0.500
Sc: 0.500 0.500 0.000
Sc: 0.500 0.500 0.500
Fe: 0.375 0.375 0.375
Fe: 0.625 0.625 0.625

Summary:
E_form   18.97 kcal/mol of atoms
Magnetic moment   0.2799 μB per atom
Density   3235 kg/m³



[2]
This record from Alexandria via LeMat-Bulk describes a relaxed structure of OsSeCl. The functional is PBE.

abc: 7.980 7.606 3.235
angles: 84.59 71.61 23.80
Atoms (fractional coordinates):
Os: 0.000 0.000 0.000
Se: 0.375 0.375 0.625
Cl: 0.630 0.630 0.370

Summary:
Formation energy from raw total energies   437 meV/atom
Magnetic moment   0.0323 μB per atom
Density   7806 kg/m³



[3]
This record from Alexandria via LeMat-Bulk describes a relaxed structure of Tm3AlZn2. The functional is PBE.

abc: 3.525 3.525 10.637
angles: 90.00 90.00 90.00
Atoms (fractional coordinates):
Tm: 0.000 0.000 0.000
Tm: 0.000 0.000 0.328
Tm: 0.000 0.000 0.672
Al: 0.500 0.500 0.500
Zn: 0.500 0.500 0.164
Zn: 0.500 0.500 0.836

Summary:
E_form   -8.47 kcal/mol of atoms
Magnetic moment   0.0000 μB per atom
Density   8349 kg/m³



[4]
This record from Alexandria via LeMat-Bulk describes a relaxed structure of ZnSn4O6. The functional is PBE.

abc: 6.463 6.463 16.797
angles: 90.00 90.00 151.97
Atoms (fractional coordinates):
Zn: 0.177 0.823 0.750
Zn: 0.823 0.177 0.250
Sn: 0.076 0.924 0.165
Sn: 0.076 0.924 0.335
Sn: 0.371 0.629 0.036
Sn: 0.371 0.629 0.464
Sn: 0.629 0.371 0.536
Sn: 0.629 0.371 0.964
Sn: 0.924 0.076 0.665
Sn: 0.924 0.076 0.835
O: 0.000 0.000 0.000
O: 0.000 0.000 0.500
O: 0.236 0.764 0.250
O: 0.350 0.650 0.606
O: 0.350 0.650 0.894
O: 0.446 0.554 0.156
O: 0.446 0.554 0.344
O: 0.554 0.446 0.656
O: 0.554 0.446 0.844
O: 0.650 0.350 0.106
O: 0.650 0.350 0.394
O: 0.764 0.236 0.750

Summary:
Formation energy from raw total energies   -1068 meV/atom
Magnetic moment   0.0000 μB per atom
Density   6408 kg/m³



[5]
This record from Alexandria via LeMat-Bulk describes a relaxed structure of HoAg3. The functional is PBE.

abc: 4.388 4.388 4.388
angles: 90.00 90.00 90.00
Atoms (fractional coordinates):
Ho: 0.000 0.000 0.000
Ag: 0.000 0.500 0.500
Ag: 0.500 0.000 0.500
Ag: 0.500 0.500 0.000

Summary:
E_form   -1.97 kcal/mol of atoms
Magnetic moment   0.0000 μB per atom
Density   9598 kg/m³



[6]
This record from Alexandria via LeMat-Bulk describes a relaxed structure of CuRu3Au. The functional is PBE.

abc: 4.480 4.480 4.480
angles: 90.00 90.00 90.00
Atoms (fractional coordinates):
Cu: 0.000 0.000 0.000
Ru: 0.000 0.000 0.500
Ru: 0.000 0.500 0.000
Ru: 0.500 0.000 0.000
Au: 0.500 0.500 0.500

Summary:
E_form   37.04 kcal/mol of atoms
Magnetic moment   1.0104 μB per atom
Density   10411 kg/m³



[7]
This record from Alexandria via LeMat-Bulk describes a relaxed structure of K2ZnBrCl. The functional is PBE.

abc: 6.031 6.031 5.781
angles: 90.00 90.00 90.00
Atoms (fractional coordinates):
K: 0.000 0.500 0.000
K: 0.500 0.000 0.000
Zn: 0.000 0.000 0.500
Br: 0.500 0.500 0.500
Cl: 0.000 0.000 0.000

Summary:
Formation energy from raw total energies   -1015 meV/atom
Magnetic moment   0.0000 μB per atom
Density   2045 kg/m³



[8]
This record from Alexandria via LeMat-Bulk describes a relaxed structure of HoErCuSi. The functional is PBE.

abc: 4.894 4.894 4.894
angles: 60.00 60.00 60.00
Atoms (fractional coordinates):
Ho: 0.000 0.000 0.000
Er: 0.500 0.500 0.500
Cu: 0.750 0.750 0.750
Si: 0.250 0.250 0.250

Summary:
Formation energy from raw total energies   -434 meV/atom
Magnetic moment   0.0000 μB per atom
Density   8492 kg/m³